The following is a PBE calculation of BiHRh3 after structural relaxation, from the Alexandria database.

Its total energy is -5.96 eV/atom. The value obtained for the total magnetization is 0.00 Bohr magnetons per cell.

The space group is Pm-3m (No. 221) and the conventional cell measures 4.079, 4.079 and 4.079 Å, with angles of 90.00, 90.00 and 90.00 degrees. Symmetry generates all atoms from Bi at (0.000, 0.000, 0.000), H at (0.500, 0.500, 0.500) and Rh at (0.000, 0.500, 0.500).